{
  "formula": "MgSnRh",
  "functional": "GGA-PBE",
  "state": "optimized geometry",
  "space_group": "Fddd, No. 70",
  "ef_ev_per_atom": -0.1808,
  "lattice_angstrom": [[0.0000, 4.4590, 6.9399], [4.1020, 0.0000, 6.9399], [4.1020, 4.4590, 0.0000]],
  "species": ["Mg", "Mg", "Mg", "Mg", "Sn", "Sn", "Sn", "Sn", "Rh", "Rh", "Rh", "Rh"],
  "frac_coords": [[0.0378, 0.0378, 0.7122], [0.2878, 0.2878, 0.9622], [0.7122, 0.7122, 0.0378], [0.9622, 0.9622, 0.2878], [0.0000, 0.5000, 0.5000], [0.5000, 0.0000, 0.5000], [0.5000, 0.5000, 0.0000], [0.5000, 0.5000, 0.5000], [0.0505, 0.6995, 0.6995], [0.3005, 0.9495, 0.9495], [0.6995, 0.0505, 0.0505], [0.9495, 0.3005, 0.3005]]
}